# MgIn2S2

Crystalline MgIn2S2 at its relaxed geometry (GGA-PBE, Alexandria via LeMat-Bulk).

Computed properties:
DOS at the Fermi energy: 0.2264 states/eV/atom
Raw formation energy: -0.40 eV per atom
Energy relative to the lowest polymorph listed for this composition: 0 meV/atom

Cell: 7.0001 7.0001 4.7218 Å, 90.00 90.00 90.00°
Last column: nearest neighbours and their distance in Å.
Space group P4/mbm (No. 127)
Inequivalent atoms, fractional coordinates:
Mg 0.0000 0.0000 0.0000 x2  4 S 2.55
In 0.1538 0.3462 0.5000 x4  2 S 2.83, 1 In 3.05
S 0.1893 0.6893 0.0000 x4  2 Mg 2.55, 2 In 2.83



# CsSr2Ca

Crystalline CsSr2Ca at its relaxed geometry (GGA-PBE, Alexandria via LeMat-Bulk).

Computed properties:
DOS at the Fermi energy: 1.2589 states/eV/atom
Energy relative to the elements: 107 meV/atom
Energy relative to the lowest polymorph listed for this composition: 0 meV/atom

Cell: 4.3565 4.3565 12.8516 Å, 90.00 90.00 90.00°
Last column: nearest neighbours and their distance in Å.
Space group P4/mmm (No. 123)
Inequivalent atoms, fractional coordinates:
Cs 0.0000 0.0000 0.0000 x1  4 Cs 4.36
Sr 0.5000 0.5000 0.2966 x2  4 Ca 4.04, 4 Sr 4.36
Ca 0.0000 0.0000 0.5000 x1  8 Sr 4.04, 4 Ca 4.36



# Pm2Sm2AlGa4

Crystalline Pm2Sm2AlGa4 at its relaxed geometry (GGA-PBE, Alexandria via LeMat-Bulk).

Computed properties:
DOS at the Fermi energy: 0.7573 states/eV/atom
Energy relative to the elements: -274 meV/atom

Cell: 7.0977 7.0977 8.9662 Å, 90.00 90.00 90.00°
Last column: nearest neighbours and their distance in Å.
Space group I4/mmm (No. 139)
Inequivalent atoms, fractional coordinates:
Pm 0.0000 0.0000 0.1869 x4  1 Al 2.81, 4 Ga 3.05
Sm 0.0000 0.5000 0.2500 x4  8 Ga 3.37, 4 Pm 3.59
Al 0.0000 0.0000 0.5000 x2  4 Ga 2.47
Ga 0.2459 0.2459 0.5000 x8  1 Al 2.47



# LiZr

Crystalline LiZr at its relaxed geometry (GGA-PBE, Alexandria via LeMat-Bulk).

Computed properties:
DOS at the Fermi energy: 1.5958 states/eV/atom
Energy relative to the elements: 1506 meV/atom
Energy relative to the lowest polymorph listed for this composition: 1423 meV/atom

Cell: 4.6652 4.6652 5.3212 Å, 90.00 90.00 120.00°
Last column: nearest neighbours and their distance in Å.
Space group P6_3/mmc (No. 194)
Inequivalent atoms, fractional coordinates:
Li 0.3333 0.6667 0.2500 x2  5 Zr 2.66-2.69
Zr 0.3333 0.6667 0.7500 x2  5 Li 2.66-2.69



Repeat the third record exactly.
# Pm2Sm2AlGa4

Crystalline Pm2Sm2AlGa4 at its relaxed geometry (GGA-PBE, Alexandria via LeMat-Bulk).

Computed properties:
DOS at the Fermi energy: 0.7573 states/eV/atom
Energy relative to the elements: -274 meV/atom

Cell: 7.0977 7.0977 8.9662 Å, 90.00 90.00 90.00°
Last column: nearest neighbours and their distance in Å.
Space group I4/mmm (No. 139)
Inequivalent atoms, fractional coordinates:
Pm 0.0000 0.0000 0.1869 x4  1 Al 2.81, 4 Ga 3.05
Sm 0.0000 0.5000 0.2500 x4  8 Ga 3.37, 4 Pm 3.59
Al 0.0000 0.0000 0.5000 x2  4 Ga 2.47
Ga 0.2459 0.2459 0.5000 x8  1 Al 2.47



- Among the records above, which one has the lowest DOS at the Fermi energy?
  MgIn2S2



- Which formula does entry 3 have?
  Pm2Sm2AlGa4